Record 1
The following is a DFT calculation (GGA-PBE) of Cu3SF2 after structural relaxation.

a = 4.325 Å, b = 3.252 Å, c = 6.128 Å
α = 105.39°, β = 110.66°, γ = 90.00°
Fractional positions:
F  0.778  0.424  0.556
F  0.222  0.868  0.444
S  0.500  0.149  0.000
Cu  0.349  0.495  0.698
Cu  0.000  0.009  0.000
Cu  0.651  0.797  0.302

* DFT total energy: -4.137 eV per atom
* raw formation energy: -0.778 eV/atom
* symmetry: Imm2 (44)



Record 2
The following is a DFT calculation (GGA-PBE) of CuS3F after structural relaxation.

a = 4.846 Å, b = 6.389 Å, c = 6.669 Å
α = 77.46°, β = 89.99°, γ = 89.96°
Fractional positions:
S  0.808  0.479  0.721
S  0.058  0.499  0.958
S  0.557  0.854  0.140
S  0.307  0.874  0.377
S  0.063  0.462  0.488
S  0.563  0.891  0.610
F  0.428  0.360  0.254
F  0.927  0.993  0.845
Cu  0.766  0.517  0.222
Cu  0.266  0.836  0.877

* polymorph energy (0 for the lowest one): 0 meV per atom
* DFT total energy: -4.023 eV per atom
* raw formation energy: -0.353 eV/atom
* symmetry: P2_1 (4)



Record 3
The following is a DFT calculation (GGA-PBE) of Cu3SF after structural relaxation.

a = 4.583 Å, b = 4.324 Å, c = 7.487 Å
α = 106.78°, β = 90.00°, γ = 90.00°
Fractional positions:
Cu  0.750  0.630  0.108
Cu  0.250  0.836  0.519
Cu  0.250  0.522  0.892
Cu  0.750  0.920  0.689
Cu  0.750  0.317  0.481
Cu  0.250  0.231  0.311
S  0.750  0.467  0.784
S  0.250  0.683  0.216
F  0.250  0.973  0.796
F  0.750  0.178  0.204

* polymorph energy (0 for the lowest one): 0 meV per atom
* DFT total energy: -4.096 eV per atom
* raw formation energy: -0.438 eV/atom
* symmetry: Cmcm (63)



Record 4
The following is a DFT calculation (GGA-PBE) of CuS6F after structural relaxation.

a = 3.949 Å, b = 7.856 Å, c = 10.820 Å
α = 71.99°, β = 55.52°, γ = 110.53°
Fractional positions:
Cu  0.000  0.000  0.000
S  0.755  0.537  0.580
S  0.598  0.414  0.810
S  0.245  0.463  0.420
S  0.490  0.047  0.410
S  0.510  0.953  0.590
S  0.402  0.586  0.190
F  0.500  0.000  0.000

* DFT total energy: -3.966 eV per atom
* raw formation energy: -0.124 eV/atom
* symmetry: P-1 (2)